(1)
DFT (PBE-GGA) results for a relaxed Ta2N3 crystal.

```
data_Ta2N3
_cell_length_a 3.0030
_cell_length_b 8.1866
_cell_length_c 8.2373
_cell_angle_alpha 90.00
_cell_angle_beta 90.00
_cell_angle_gamma 90.00
_symmetry_space_group_name_H-M 'P 1'
_symmetry_Int_Tables_number 1
loop_
_symmetry_equiv_pos_as_xyz
'x,y,z'
loop_
_atom_site_label
_atom_site_type_symbol
_atom_site_fract_x
_atom_site_fract_y
_atom_site_fract_z
Ta1 Ta 0.2500 0.8127 0.5210
N1 N 0.2500 0.4511 0.1208
N2 N 0.7500 0.9511 0.3792
N3 N 0.2500 0.7996 0.7800
N4 N 0.7500 0.6252 0.5463
N5 N 0.2500 0.7004 0.2800
Ta2 Ta 0.7500 0.9950 0.8057
Ta3 Ta 0.2500 0.0050 0.1943
N6 N 0.7500 0.2996 0.7200
N7 N 0.2500 0.1252 0.9537
N8 N 0.2500 0.3748 0.4537
N9 N 0.7500 0.2004 0.2200
N10 N 0.7500 0.5489 0.8792
N11 N 0.7500 0.8748 0.0463
Ta4 Ta 0.7500 0.3127 0.9790
Ta5 Ta 0.2500 0.6873 0.0210
Ta6 Ta 0.2500 0.4950 0.6943
N12 N 0.2500 0.0489 0.6208
Ta7 Ta 0.7500 0.1873 0.4790
Ta8 Ta 0.7500 0.5050 0.3057
```

Output
* space group: Pnma
* raw formation energy: -1.04 eV per atom
* crystal system: orthorhombic
* energy: -215.476 eV/cell



(2)
DFT (PBE-GGA) results for a relaxed Ta4N5 crystal.

```
data_Ta4N5
_cell_length_a 5.3373
_cell_length_b 5.3373
_cell_length_c 5.3373
_cell_angle_alpha 99.25
_cell_angle_beta 99.25
_cell_angle_gamma 132.73
_symmetry_space_group_name_H-M 'P 1'
_symmetry_Int_Tables_number 1
loop_
_symmetry_equiv_pos_as_xyz
'x,y,z'
loop_
_atom_site_label
_atom_site_type_symbol
_atom_site_fract_x
_atom_site_fract_y
_atom_site_fract_z
N1 N 0.5000 0.5000 0.0000
N2 N 0.0931 0.6931 0.7862
N3 N 0.9069 0.3069 0.2138
Ta1 Ta 0.6042 0.2171 0.8213
Ta2 Ta 0.7829 0.6042 0.3871
Ta3 Ta 0.3958 0.7829 0.1787
N4 N 0.6931 0.9069 0.6000
N5 N 0.3069 0.0931 0.4000
Ta4 Ta 0.2171 0.3958 0.6129
```

Output
* space group: I4/m
* raw formation energy: -1.10 eV per atom
* crystal system: tetragonal
* energy: -98.897 eV/cell



(3)
DFT (PBE-GGA) results for a relaxed Ta3N5 crystal.

```
data_Ta3N5
_cell_length_a 5.5172
_cell_length_b 5.5172
_cell_length_c 10.3519
_cell_angle_alpha 90.00
_cell_angle_beta 90.00
_cell_angle_gamma 138.53
_symmetry_space_group_name_H-M 'P 1'
_symmetry_Int_Tables_number 1
loop_
_symmetry_equiv_pos_as_xyz
'x,y,z'
loop_
_atom_site_label
_atom_site_type_symbol
_atom_site_fract_x
_atom_site_fract_y
_atom_site_fract_z
Ta1 Ta 0.8667 0.1333 0.5595
N1 N 0.7634 0.2366 0.7500
N2 N 0.0470 0.9530 0.8806
N3 N 0.2366 0.7634 0.2500
N4 N 0.3086 0.6914 0.5739
N5 N 0.6914 0.3086 0.4261
Ta2 Ta 0.8021 0.1979 0.2500
N6 N 0.6914 0.3086 0.0739
N7 N 0.9530 0.0470 0.1194
Ta3 Ta 0.8667 0.1333 0.9405
Ta4 Ta 0.1979 0.8021 0.7500
Ta5 Ta 0.1333 0.8667 0.4405
N8 N 0.0470 0.9530 0.6194
N9 N 0.3086 0.6914 0.9261
Ta6 Ta 0.1333 0.8667 0.0595
N10 N 0.9530 0.0470 0.3806
```

Output
* space group: Cmcm
* raw formation energy: -1.05 eV per atom
* crystal system: orthorhombic
* energy: -171.236 eV/cell